# 1
{
  "formula": "Ba2IrPt",
  "functional": "PBEsol",
  "state": "relaxed",
  "cell": [[-2.637, -3.437, -0.892], [2.932, -2.734, 1.869], [-2.831, 0.739, 5.522]],
  "species": ["Ir", "Ba", "Ba", "Pt"],
  "frac_coords": [[0.000, 0.000, 0.000], [0.000, 0.000, 0.500], [0.500, 0.500, 0.000], [0.500, 0.500, 0.500]],
  "e_tot_ev_per_fu": -20.10,
  "sg": "P4/mmm",
  "vol_a3_per_fu": 122,
  "m_tot_mub_per_fu": 0.94,
  "formation_energy_mev_per_atom": 247
}

# 2
{
  "formula": "YSc3Ta",
  "functional": "PBEsol",
  "state": "relaxed",
  "cell": [[-3.523, 2.373, -2.419], [2.151, -1.131, -4.241], [-2.618, -4.121, -0.229]],
  "species": ["Y", "Sc", "Sc", "Sc", "Ta"],
  "frac_coords": [[0.000, 0.000, 0.000], [0.000, 0.500, 0.000], [0.000, 0.000, 0.500], [0.500, 0.000, 0.000], [0.500, 0.500, 0.500]],
  "e_tot_ev_per_fu": -31.99,
  "sg": "Pm-3m",
  "vol_a3_per_fu": 117,
  "m_tot_mub_per_fu": 0.00,
  "formation_energy_mev_per_atom": 1439
}

# 3
{
  "formula": "CrBiB3",
  "functional": "PBEsol",
  "state": "relaxed",
  "cell": [[-1.458, 0.738, -3.654], [2.317, -2.894, -1.509], [-2.920, -2.665, 0.627]],
  "species": ["Cr", "B", "B", "B", "Bi"],
  "frac_coords": [[0.000, 0.000, 0.000], [0.000, 0.500, 0.000], [0.000, 0.000, 0.500], [0.500, 0.000, 0.000], [0.500, 0.500, 0.500]],
  "e_tot_ev_per_fu": -30.07,
  "sg": "Pm-3m",
  "vol_a3_per_fu": 64,
  "m_tot_mub_per_fu": 0.00,
  "e_above_lowest_polymorph_mev_per_atom": 0,
  "formation_energy_mev_per_atom": 1100
}

# 4
{
  "formula": "NaYGa2Pd",
  "functional": "PBEsol",
  "state": "relaxed",
  "cell": [[-2.345, 4.021, -0.687], [-3.343, -1.439, 2.982], [2.557, 2.159, 3.908]],
  "species": ["Y", "Na", "Ga", "Ga", "Pd"],
  "frac_coords": [[0.000, 0.000, 0.500], [0.000, 0.000, 0.000], [0.000, 0.500, 0.000], [0.500, 0.000, 0.000], [0.500, 0.500, 0.500]],
  "e_tot_ev_per_fu": -16.73,
  "sg": "P4/mmm",
  "vol_a3_per_fu": 114,
  "m_tot_mub_per_fu": 0.00,
  "formation_energy_mev_per_atom": 826
}

# 5
{
  "formula": "Sc2MnP",
  "functional": "PBEsol",
  "state": "relaxed",
  "cell": [[2.965, 0.000, 0.000], [0.000, 2.965, 0.000], [0.000, 0.000, 7.371]],
  "species": ["Mn", "P", "Sc", "Sc"],
  "frac_coords": [[0.000, 0.000, 0.559], [0.500, 0.500, 0.692], [0.000, 0.000, 0.937], [0.500, 0.500, 0.313]],
  "e_tot_ev_per_fu": -30.63,
  "sg": "P4mm",
  "vol_a3_per_fu": 65,
  "m_tot_mub_per_fu": 0.00,
  "formation_energy_mev_per_atom": -466
}

# 6
{
  "formula": "CsSe2S",
  "functional": "PBEsol",
  "state": "relaxed",
  "cell": [[-0.845, -3.661, 4.398], [5.537, 0.600, 1.564], [-4.367, 7.736, 1.796]],
  "species": ["Cs", "Cs", "S", "S", "Se", "Se", "Se", "Se"],
  "frac_coords": [[0.000, 0.000, 0.000], [0.250, 0.750, 0.500], [0.500, 0.500, 0.000], [0.750, 0.250, 0.500], [0.625, 0.375, 0.750], [0.125, 0.375, 0.750], [0.625, 0.875, 0.250], [0.625, 0.375, 0.250]],
  "e_form_raw_ev_per_atom": -0.426,
  "e_tot_ev_per_fu": -14.73,
  "sg": "I4_1/amd",
  "vol_a3_per_fu": 135,
  "m_tot_mub_per_fu": 0.00
}